(1)
A relaxed structure of P3IF, computed with PBE.

Lattice parameters (Å, degrees): 4.5632 4.5632 4.5632 90.00 90.00 90.00
Last column: nearest neighbours and their distance in Å.
Space group Pm-3m (No. 221)
One atom of each set of equivalent atoms:
P 0.0000 0.0000 0.5000 (multiplicity 3)  2 F 2.28
I 0.5000 0.5000 0.5000 (multiplicity 1)  12 P 3.23
F 0.0000 0.0000 0.0000 (multiplicity 1)  6 P 2.28

Properties
Crystal system ... cubic
Total moment ... 0.0 μB per cell
Relative energy among the computed polymorphs ... 0.00 eV per formula unit
Raw formation energy ... 1.002 eV per atom
Final energy ... -14.64 eV/cell

***

(2)
A relaxed structure of P3IF12, computed with PBE.

Lattice parameters (Å, degrees): 9.0129 9.0129 24.6775 90.00 90.00 120.00
Last column: nearest neighbours and their distance in Å.
Space group R-3c (No. 167, hexagonal axes)
One atom of each set of equivalent atoms:
P 0.0000 0.3106 0.2500 (multiplicity 18)  4 F 1.57-1.65
I 0.0000 0.0000 0.2500 (multiplicity 6)  3 P 2.80
F 0.0392 0.4344 0.2004 (multiplicity 36)  1 P 1.57
F 0.0655 0.5284 0.0670 (multiplicity 36)  1 P 1.65

Properties
Crystal system ... trigonal
Total moment ... 0.0 μB per cell
Raw formation energy ... -2.143 eV per atom
Final energy ... -447.13 eV/cell

***

(3)
A relaxed structure of P3IF, computed with PBE.

Lattice parameters (Å, degrees): 5.1615 5.1615 5.1615 90.00 90.00 90.00
Last column: nearest neighbours and their distance in Å.
Space group Pm-3m (No. 221)
One atom of each set of equivalent atoms:
P 0.0000 0.0000 0.5000 (multiplicity 3)  2 I 2.58
I 0.0000 0.0000 0.0000 (multiplicity 1)  6 P 2.58
F 0.5000 0.5000 0.5000 (multiplicity 1)  12 P 3.65

Properties
Crystal system ... cubic
Total moment ... 0.0 μB per cell
Relative energy among the computed polymorphs ... 2.72 eV per formula unit
Raw formation energy ... 1.547 eV per atom
Final energy ... -11.92 eV/cell

***

(4)
A relaxed structure of PI3F, computed with PBE.

Lattice parameters (Å, degrees): 5.4265 5.4265 5.4265 90.00 90.00 90.00
Last column: nearest neighbours and their distance in Å.
Space group Pm-3m (No. 221)
One atom of each set of equivalent atoms:
P 0.0000 0.0000 0.0000 (multiplicity 1)  6 I 2.71
I 0.0000 0.0000 0.5000 (multiplicity 3)  2 P 2.71
F 0.5000 0.5000 0.5000 (multiplicity 1)  12 I 3.84

Properties
Crystal system ... cubic
Total moment ... 0.6 μB per cell
Relative energy among the computed polymorphs ... 0.00 eV per formula unit
Raw formation energy ... 0.175 eV per atom
Final energy ... -11.06 eV/cell

***

(5)
A relaxed structure of PIF2, computed with PBE.

Lattice parameters (Å, degrees): 3.1329 3.1329 29.9935 90.00 90.00 120.00
Last column: nearest neighbours and their distance in Å.
Space group R-3m (No. 166, hexagonal axes)
One atom of each set of equivalent atoms:
P 0.0000 0.0000 0.0000 (multiplicity 3)  2 F 1.67
I 0.0000 0.0000 0.5000 (multiplicity 3)  6 I 3.13
F 0.0000 0.0000 0.0558 (multiplicity 6)  1 P 1.67

Properties
Crystal system ... trigonal
Total moment ... 0.0 μB per cell
Relative energy among the computed polymorphs ... 0.00 eV per formula unit
Raw formation energy ... -0.930 eV per atom
Final energy ... -43.27 eV/cell

***

(6)
A relaxed structure of PIF2, computed with PBE.

Lattice parameters (Å, degrees): 4.8250 4.8250 13.1451 90.00 90.00 90.00
Last column: nearest neighbours and their distance in Å.
Space group I4_1/amd (No. 141, origin choice 2)
One atom of each set of equivalent atoms:
P 0.0000 0.2500 0.3750 (multiplicity 4)  4 F 2.04
I 0.0000 0.2500 0.8750 (multiplicity 4)  8 F 3.16, 4 P 3.41
F 0.0000 0.0000 0.5000 (multiplicity 8)  2 P 2.04

Properties
Crystal system ... tetragonal
Total moment ... 0.0 μB per cell
Relative energy among the computed polymorphs ... 1.72 eV per formula unit
Raw formation energy ... -0.500 eV per atom
Final energy ... -50.81 eV/cell

***

Which value of total moment does entry 3 give?
0.0 μB per cell